(1)
# ScMnFe PBE relaxed
# Energy above the lowest structure with this stoichiometry (meV per atom): 314
# Density (g/cm3): 5.77
# Energy relative to the elements (eV/atom): 0.134
# Total energy (eV per atom): -7.854
# Magnetic moment (Bohr magnetons per cell): 3.68
data_ScMnFe
_cell_length_a 4.1469
_cell_length_b 4.1469
_cell_length_c 3.0097
_cell_angle_alpha 90.00
_cell_angle_beta 90.00
_cell_angle_gamma 120.00
_space_group_name_H-M_alt 'P 3 m 1'
_space_group_IT_number 156
loop_
_space_group_symop_operation_xyz
'x,y,z'
'-y,x-y,z'
'-x+y,-x,z'
'-y,-x,z'
'-x+y,y,z'
'x,x-y,z'
loop_
_atom_site_label
_atom_site_type_symbol
_atom_site_fract_x
_atom_site_fract_y
_atom_site_fract_z
Sc1 Sc 0.0000 0.0000 0.0000
Mn1 Mn 0.3333 0.6667 0.5391
Fe1 Fe 0.6667 0.3333 0.4407

(2)
# Sc2MnFe PBE relaxed
# Energy above the lowest structure with this stoichiometry (meV per atom): 41
# Density (g/cm3): 5.14
# Energy relative to the elements (eV/atom): 0.038
# Total energy (eV per atom): -7.536
# Magnetic moment (Bohr magnetons per cell): 2.84
data_Sc2MnFe
_cell_length_a 4.4738
_cell_length_b 4.4738
_cell_length_c 3.2374
_cell_angle_alpha 90.00
_cell_angle_beta 90.00
_cell_angle_gamma 90.00
_space_group_name_H-M_alt 'P 4/m m m'
_space_group_IT_number 123
_space_group_name_Hall '-P 4 2'
loop_
_atom_site_label
_atom_site_type_symbol
_atom_site_fract_x
_atom_site_fract_y
_atom_site_fract_z
Sc1 Sc 0.0000 0.5000 0.0000
Mn1 Mn 0.0000 0.0000 0.5000
Fe1 Fe 0.5000 0.5000 0.5000